Record 1
KTc2Os | PBE | optimized geometry

Cell and atoms, written as POSCAR:
```
KTc2Os
1.0
7.470 0.000 0.000
0.000 7.470 0.000
0.000 0.000 5.986
K Tc Os
4 8 4
direct
0.000 0.000 0.000
0.000 0.500 0.250
0.500 0.000 0.750
0.500 0.500 0.500
0.180 0.250 0.625
0.250 0.680 0.875
0.250 0.820 0.375
0.320 0.250 0.125
0.680 0.750 0.125
0.750 0.180 0.375
0.750 0.320 0.875
0.820 0.750 0.625
0.000 0.000 0.500
0.000 0.500 0.750
0.500 0.000 0.250
0.500 0.500 0.000
```

Summary:
Space-group type: No. 122
Total magnetization in μB/atom: 0.0000
ΔE to the lowest computed polymorph in eV/f.u.: 3.058

---

Record 2
KTc2Os | PBE | optimized geometry

Cell and atoms, written as POSCAR:
```
KTc2Os
1.0
2.713 0.000 0.000
0.000 4.920 0.000
0.000 0.000 5.086
K Tc Os
1 2 1
direct
0.000 0.000 0.000
0.000 0.500 0.500
0.500 0.500 0.000
0.500 0.000 0.500
```

Summary:
Space-group type: No. 47
Total magnetization in μB/atom: 0.0001
ΔE to the lowest computed polymorph in eV/f.u.: 3.538